Material: Ac2TmF
Method: DFT, PBE-GGA
State: relaxed

- Crystal system: trigonal
- N(E_F): 5.4 states/eV per cell
- Raw formation energy: -824 meV/atom
- Total moment: 0.00 Bohr magnetons per cell

abc: 11.1492 11.1492 11.1492
angles: 18.92 18.92 18.92
Sites, in units of the cell vectors:
Ac: 0.1069 0.1069 0.1069
Ac: 0.8931 0.8931 0.8931
Tm: 0.0000 0.0000 0.0000
F: 0.5000 0.5000 0.5000